The following is a PBE calculation of a relaxed CsK2CdSi crystal, from Alexandria via LeMat-Bulk.

Properties
* SG: No. 123
* uncorrected formation energy: 0.15 eV/atom
* electronic total energy: -8.6 eV per cell
* spin magnetization: 0.058 μB per atom

POSCAR file:
```
CsK2CdSi
1.0
6.722 0.000 0.000
0.000 6.722 0.000
0.000 0.000 5.190
Cs K Cd Si
1 2 1 1
Direct
0.000 0.000 0.000
0.000 0.500 0.500
0.500 0.000 0.500
0.500 0.500 0.000
0.500 0.500 0.500
```